# KZnNiCl6 | Alexandria | GGA-PBE | optimized geometry
data_KZnNiCl6
_chemical_formula_sum 'K2 Zn2 Ni2 Cl12'
_cell_length_a 6.4781
_cell_length_b 10.5461
_cell_length_c 7.0333
_cell_angle_alpha 90.00
_cell_angle_beta 92.69
_cell_angle_gamma 90.00
_space_group_name_H-M_alt 'C 1 2 1'
_space_group_IT_number 5
_space_group_name_Hall 'C 2y'
loop_
_atom_site_label
_atom_site_fract_x
_atom_site_fract_y
_atom_site_fract_z
_atom_site_occupancy
K1 0.0000 0.0000 0.0000 1
Zn1 0.0000 0.3235 0.5000 1
Ni1 0.0000 0.6689 0.5000 1
Cl1 0.1273 0.5138 0.6878 1
Cl2 0.1691 0.8136 0.6836 1
Cl3 0.1950 0.1871 0.7070 1
# Energy (eV/cell): -56.4
# E_form (uncorrected) (eV per formula unit): -9.0
# Mass density (Mg/m³): 2.60

---

# Na2MgZrPd | Alexandria | GGA-PBE | optimized geometry
data_Na2MgZrPd
_chemical_formula_sum 'Na2 Mg1 Zr1 Pd1'
_cell_length_a 4.9687
_cell_length_b 4.9687
_cell_length_c 5.6130
_cell_angle_alpha 90.00
_cell_angle_beta 90.00
_cell_angle_gamma 90.00
_space_group_name_H-M_alt 'P 4/m m m'
_space_group_IT_number 123
_space_group_name_Hall '-P 4 2'
loop_
_atom_site_label
_atom_site_fract_x
_atom_site_fract_y
_atom_site_fract_z
_atom_site_occupancy
Na1 0.0000 0.5000 0.0000 1
Mg1 0.0000 0.0000 0.0000 1
Zr1 0.0000 0.0000 0.5000 1
Pd1 0.5000 0.5000 0.5000 1
# Energy (eV/cell): -12.7
# Mass density (Mg/m³): 3.21